1.
Computed, not measured: a relaxed structure of Er5Sb2CSe at the PBE-GGA level of DFT.

* total energy: -5.77 eV per atom
* crystal system: tetragonal
* ΔE_f (raw): -903 meV per atom

Structure (POSCAR):
```
Er5Sb2CSe
1.0
4.591 0.000 0.000
0.000 4.591 0.000
0.000 0.000 10.733
Er Sb C Se
5 2 1 1
direct
0.000 0.000 0.000 Er
0.000 0.500 0.500 Er
0.500 0.000 0.500 Er
0.500 0.500 0.262 Er
0.500 0.500 0.738 Er
0.000 0.000 0.286 Sb
0.000 0.000 0.714 Sb
0.500 0.500 0.500 C
0.500 0.500 0.000 Se
```

2.
Computed, not measured: a relaxed structure of Er4SiSbC at the PBE-GGA level of DFT.

* total energy: -5.95 eV per atom
* crystal system: orthorhombic
* ΔE_f (raw): -663 meV per atom

Structure (POSCAR):
```
Er4SiSbC
1.0
3.314 -7.610 0.000
3.314 7.610 0.000
0.000 0.000 6.638
Er Si Sb C
8 2 2 2
direct
0.000 0.500 0.000 Er
0.000 0.500 0.500 Er
0.083 0.917 0.750 Er
0.407 0.593 0.750 Er
0.500 0.000 0.000 Er
0.500 0.000 0.500 Er
0.593 0.407 0.250 Er
0.917 0.083 0.250 Er
0.115 0.885 0.250 Si
0.885 0.115 0.750 Si
0.394 0.606 0.250 Sb
0.606 0.394 0.750 Sb
0.246 0.754 0.750 C
0.754 0.246 0.250 C
```

Please write out number 2 again, unchanged.
Computed, not measured: a relaxed structure of Er4SiSbC at the PBE-GGA level of DFT.

* total energy: -5.95 eV per atom
* crystal system: orthorhombic
* ΔE_f (raw): -663 meV per atom

Structure (POSCAR):
```
Er4SiSbC
1.0
3.314 -7.610 0.000
3.314 7.610 0.000
0.000 0.000 6.638
Er Si Sb C
8 2 2 2
direct
0.000 0.500 0.000 Er
0.000 0.500 0.500 Er
0.083 0.917 0.750 Er
0.407 0.593 0.750 Er
0.500 0.000 0.000 Er
0.500 0.000 0.500 Er
0.593 0.407 0.250 Er
0.917 0.083 0.250 Er
0.115 0.885 0.250 Si
0.885 0.115 0.750 Si
0.394 0.606 0.250 Sb
0.606 0.394 0.750 Sb
0.246 0.754 0.750 C
0.754 0.246 0.250 C
```

Question: Look up the ΔE_f (raw) of the second one.
Answer: -663 meV per atom